Here is an optimized crystal structure of ScBiMo2O from Alexandria. Energies are from PBE+U.

Its electronic total energy is -4.289 eV/atom. The value obtained for the calculated density is 4448 kg/m3.

abc: 5.5611 5.5611 5.5752
angles: 90.00 90.00 90.00
Fractional positions:
Sc 0.0000 0.0000 0.0000
Bi 0.0000 0.0000 0.5000
Mo 0.0000 0.5000 0.5000
Mo 0.5000 0.0000 0.5000
O 0.5000 0.5000 0.0000